*w*
Material: MnBeBr2
Method: DFT, PBE
State: relaxed

Values from the calculation:
* volume: 22.6 Å³/atom
* spin magnetization: 3.58 μB per formula unit
* crystal system: orthorhombic

```
MnBeBr2
1.0
7.4725 0.0494 0.0053
5.7145 4.8151 -0.0053
-6.5147 -2.6460 2.5296
Br Be Mn
2 1 1
Direct
0.3788 0.3788 0.0000
0.1212 0.1212 0.0000
0.2500 0.7500 0.5000
0.7500 0.2500 0.5000
```



*x*
Material: MnBeBr2
Method: DFT, PBE
State: relaxed

Values from the calculation:
* volume: 24.1 Å³/atom
* spin magnetization: 4.10 μB per formula unit
* crystal system: orthorhombic

```
MnBeBr2
1.0
-3.5568 -0.2572 -0.6621
2.6085 -0.6301 -2.4401
0.1738 -8.5993 2.4065
Br Be Mn
2 1 1
Direct
0.0000 0.0000 0.8988
0.5000 0.5000 0.3258
0.5000 0.5000 0.7408
0.0000 0.0000 0.5346
```



The structure with the least stability is *x*.



*w*
Material: MnBe3Br
Method: DFT, PBE
State: relaxed

Values from the calculation:
* volume: 14.8 Å³/atom
* spin magnetization: 0.00 μB per formula unit
* crystal system: cubic

```
MnBe3Br
1.0
-3.5323 -1.2386 1.8921
1.2037 -4.0005 -0.3717
1.9145 0.2300 3.7246
Br Mn Be
1 1 3
Direct
0.0000 0.0000 0.0000
0.5000 0.5000 0.5000
0.5000 0.0000 0.0000
0.0000 0.5000 0.0000
0.0000 0.0000 0.5000
```



*x*
Material: MnBe3Br
Method: DFT, PBE
State: relaxed

Values from the calculation:
* volume: 17.3 Å³/atom
* spin magnetization: 3.17 μB per formula unit
* crystal system: cubic

```
MnBe3Br
1.0
4.4186 0.0000 0.0000
0.0000 4.4186 0.0000
0.0000 0.0000 4.4186
Mn Be Br
1 3 1
Direct
0.0000 0.0000 0.0000
0.0000 0.5000 0.0000
0.0000 0.0000 0.5000
0.5000 0.0000 0.0000
0.5000 0.5000 0.5000
```



The structure with the least stability is *w*.



*w*
Material: Be2MoBr
Method: DFT, PBE
State: relaxed

Values from the calculation:
* volume: 14.1 Å³/atom
* spin magnetization: 0.24 μB per formula unit
* crystal system: tetragonal

```
Be2MoBr
1.0
-1.2156 2.4063 -1.5622
-2.8139 -0.6691 1.1589
1.0398 3.4619 4.5235
Br Be Mo
1 2 1
Direct
0.0000 0.0000 0.4729
0.5000 0.5000 0.2016
0.0000 0.0000 0.0116
0.5000 0.5000 0.8139
```



*x*
Material: Be2MoBr
Method: DFT, PBE
State: relaxed

Values from the calculation:
* volume: 13.9 Å³/atom
* spin magnetization: 0.00 μB per formula unit
* crystal system: cubic

```
Be2MoBr
1.0
-3.3729 -2.0012 -1.7161
0.5882 -3.4159 -2.5123
-1.1120 -3.8943 1.3873
Be Br Mo
2 1 1
Direct
0.0000 0.0000 0.0000
0.2500 0.2500 0.2500
0.5000 0.5000 0.5000
0.7500 0.7500 0.7500
```



The structure with the least stability is *x*.



*w*
Material: Be2MoBr
Method: DFT, PBE
State: relaxed

Values from the calculation:
* volume: 13.4 Å³/atom
* spin magnetization: 0.00 μB per formula unit
* crystal system: tetragonal

```
Be2MoBr
1.0
4.9601 0.0015 0.0000
2.4258 4.3264 0.0000
-3.6929 -2.1640 2.5064
Br Be Mo
1 2 1
Direct
0.5000 0.5000 0.0000
0.2500 0.7500 0.5000
0.0000 0.0000 0.0000
0.7500 0.2500 0.5000
```



*x*
Material: Be2MoBr
Method: DFT, PBE
State: relaxed

Values from the calculation:
* volume: 13.9 Å³/atom
* spin magnetization: 0.00 μB per formula unit
* crystal system: orthorhombic

```
Be2MoBr
1.0
4.5546 -0.0099 0.0000
-1.6399 4.2491 0.0000
0.0000 0.0000 2.8764
Mo Be Br
1 2 1
Direct
0.0000 0.5000 0.5000
0.0000 0.0000 0.0000
0.5000 0.5000 0.0000
0.5000 0.0000 0.5000
```



*y*
Material: Be2MoBr
Method: DFT, PBE
State: relaxed

Values from the calculation:
* volume: 14.8 Å³/atom
* spin magnetization: 0.00 μB per formula unit
* crystal system: tetragonal

```
Be2MoBr
1.0
-1.1751 -2.4426 1.7164
2.9781 -1.0983 0.4759
0.4036 3.1663 4.7823
Br Be Mo
1 2 1
Direct
0.5000 0.5000 0.2500
0.0000 0.0000 0.9221
0.0000 0.0000 0.5779
0.5000 0.5000 0.7500
```



The structure with the least stability is *w*.